# KBaCd2Pd, relaxed, DFT PBE-GGA
# - Final energy: -2.1133 eV per atom
# - Theoretical density: 5.04 g/cm3
# - Formation energy: -0.10 eV/atom
# - Relative energy among the computed polymorphs: 0.103 eV per atom
data_KBaCd2Pd
_chemical_formula_sum 'K1 Ba1 Cd2 Pd1'
_space_group_name_H-M_alt 'P 4/m m m'
_space_group_IT_number 123
_space_group_name_Hall '-P 4 2'
_cell_length_a 5.4304
_cell_length_b 5.4304
_cell_length_c 5.6667
_cell_angle_alpha 90.00
_cell_angle_beta 90.00
_cell_angle_gamma 90.00
loop_
_atom_site_label
_atom_site_fract_x
_atom_site_fract_y
_atom_site_fract_z
_atom_site_occupancy
K1 0.0000 0.0000 0.0000 1
Ba1 0.5000 0.5000 0.0000 1
Cd1 0.0000 0.5000 0.5000 1
Pd1 0.0000 0.0000 0.5000 1

***

# KBaCd2Pd, relaxed, DFT PBE-GGA
# - Final energy: -2.2166 eV per atom
# - Theoretical density: 4.79 g/cm3
# - Formation energy: -0.21 eV/atom
# - Relative energy among the computed polymorphs: 0.000 eV per atom
data_KBaCd2Pd
_chemical_formula_sum 'K1 Ba1 Cd2 Pd1'
_space_group_name_H-M_alt 'P 4/m m m'
_space_group_IT_number 123
_space_group_name_Hall '-P 4 2'
_cell_length_a 5.5132
_cell_length_b 5.5132
_cell_length_c 5.7958
_cell_angle_alpha 90.00
_cell_angle_beta 90.00
_cell_angle_gamma 90.00
loop_
_atom_site_label
_atom_site_fract_x
_atom_site_fract_y
_atom_site_fract_z
_atom_site_occupancy
K1 0.0000 0.0000 0.0000 1
Ba1 0.5000 0.5000 0.0000 1
Cd1 0.0000 0.5000 0.5000 1
Pd1 0.5000 0.5000 0.5000 1

***

# KBa2CdPt, relaxed, DFT PBE-GGA
# - Final energy: -2.7122 eV per atom
# - Theoretical density: 4.81 g/cm3
# - Formation energy: -0.33 eV/atom
# - Relative energy among the computed polymorphs: 0.000 eV per atom
data_KBa2CdPt
_chemical_formula_sum 'K1 Ba2 Cd1 Pt1'
_space_group_name_H-M_alt 'P 4/m m m'
_space_group_IT_number 123
_space_group_name_Hall '-P 4 2'
_cell_length_a 6.2445
_cell_length_b 6.2445
_cell_length_c 5.5047
_cell_angle_alpha 90.00
_cell_angle_beta 90.00
_cell_angle_gamma 90.00
loop_
_atom_site_label
_atom_site_fract_x
_atom_site_fract_y
_atom_site_fract_z
_atom_site_occupancy
K1 0.0000 0.0000 0.0000 1
Ba1 0.0000 0.5000 0.5000 1
Cd1 0.5000 0.5000 0.0000 1
Pt1 0.5000 0.5000 0.5000 1

***

# KBaCd2Pt, relaxed, DFT PBE-GGA
# - Final energy: -2.4593 eV per atom
# - Theoretical density: 5.63 g/cm3
# - Formation energy: -0.28 eV/atom
data_KBaCd2Pt
_chemical_formula_sum 'K1 Ba1 Cd2 Pt1'
_space_group_name_H-M_alt 'P 4/m m m'
_space_group_IT_number 123
_space_group_name_Hall '-P 4 2'
_cell_length_a 5.4743
_cell_length_b 5.4743
_cell_length_c 5.8729
_cell_angle_alpha 90.00
_cell_angle_beta 90.00
_cell_angle_gamma 90.00
loop_
_atom_site_label
_atom_site_fract_x
_atom_site_fract_y
_atom_site_fract_z
_atom_site_occupancy
K1 0.0000 0.0000 0.0000 1
Ba1 0.5000 0.5000 0.0000 1
Cd1 0.0000 0.5000 0.5000 1
Pt1 0.5000 0.5000 0.5000 1

***

We obtain spin magnetization values of 0.000; 0.000; 0.000; 0.000 μB per cell for the records listed above, in that order.